1.
DFT (PBE) results for crystalline Sm2ErTl2Cd2 at its relaxed geometry.

For the calculated formation energy, the calculation gives -143 meV/atom. The density of states at the Fermi level is 0.714 states/eV/atom.

POSCAR file:
```
Sm2ErTl2Cd2
1.0
2.496 1.441 9.156
-2.496 1.441 9.156
0.000 -2.882 9.156
Sm Er Tl Cd
2 1 2 2
Cartesian
0.000 0.000 3.462
0.000 0.000 24.007
0.000 0.000 0.000
0.000 0.000 7.107
0.000 0.000 20.362
0.000 0.000 10.661
0.000 0.000 16.808
```

2.
DFT (PBE) results for crystalline GdScPdRu at its relaxed geometry.

For the calculated formation energy, the calculation gives -632 meV/atom. The density of states at the Fermi level is 0.473 states/eV/atom.

POSCAR file:
```
GdScPdRu
1.0
0.000 3.372 3.372
3.372 0.000 3.372
3.372 3.372 0.000
Gd Sc Pd Ru
1 1 1 1
Cartesian
0.000 0.000 0.000
3.372 3.372 3.372
1.686 1.686 1.686
5.058 5.058 5.058
```

3.
DFT (PBE) results for crystalline Ca3NdNp2N6 at its relaxed geometry.

The uncorrected formation energy comes out at -1.1877 eV per atom. The density of states at the Fermi level is 0.904 states/eV/atom.

POSCAR file:
```
Ca3NdNp2N6
1.0
7.630 -1.766 0.000
7.630 1.766 0.000
-1.596 0.000 6.868
Ca Nd Np N
3 1 2 6
Cartesian
0.000 0.000 0.000
3.996 0.000 4.582
9.667 0.000 2.286
-0.798 0.000 3.434
4.817 0.000 1.145
8.846 0.000 5.723
1.578 0.000 4.224
2.616 0.000 0.460
6.953 0.000 1.646
6.711 0.000 5.221
11.047 0.000 6.408
12.086 0.000 2.644
```

4.
DFT (PBE) results for crystalline LiHgGe2O6 at its relaxed geometry.

The uncorrected formation energy comes out at -1.2664 eV per atom. The density of states at the Fermi level is 0.282 states/eV/atom.

POSCAR file:
```
LiHgGe2O6
1.0
5.204 -4.891 0.000
5.204 4.891 0.000
-2.037 0.000 5.290
Li Hg Ge O
2 2 4 12
Cartesian
3.676 2.712 3.968
4.694 -2.712 1.323
4.694 3.751 1.323
3.676 -3.751 3.968
2.600 0.817 1.474
1.582 -0.817 4.119
6.788 0.817 1.171
5.770 -0.817 3.817
0.914 0.812 0.846
3.070 2.368 2.128
-0.104 -0.812 3.491
3.699 0.417 0.123
6.319 2.368 0.517
2.680 -0.417 2.769
5.690 0.417 2.522
2.051 -2.368 4.773
4.671 -0.417 5.167
8.474 0.812 1.799
5.300 -2.368 3.163
7.456 -0.812 4.444
```

5.
DFT (PBE) results for crystalline ThU5P6 at its relaxed geometry.

For the calculated formation energy, the calculation gives -1047 meV/atom. The density of states at the Fermi level is 2.465 states/eV/atom.

POSCAR file:
```
ThU5P6
1.0
3.437 -5.967 0.000
3.437 5.967 0.000
-2.308 0.000 6.488
Th U P
1 5 6
Cartesian
0.000 0.000 0.000
2.283 4.013 3.244
3.437 1.994 0.000
2.283 0.000 3.244
3.437 -1.994 0.000
2.283 -4.013 3.244
1.173 2.040 1.663
0.050 0.000 4.846
1.173 -2.040 1.663
3.393 2.040 4.825
4.516 0.000 1.642
3.393 -2.040 4.825
```

6.
DFT (PBE) results for crystalline KZnNi2 at its relaxed geometry.

Its energy above the most stable polymorph in this dataset is 214 meV/atom. For the calculated formation energy, the calculation gives 521 meV/atom. The density of states at the Fermi level is 0.609 states/eV/atom.

POSCAR file:
```
KZnNi2
1.0
1.424 0.822 9.149
-1.424 0.822 9.149
0.000 -1.645 9.149
K Zn Ni
1 1 2
Cartesian
0.000 0.000 0.000
0.000 0.000 13.724
0.000 0.000 6.442
0.000 0.000 21.007
```

7.
DFT (PBE) results for crystalline Hf2InPt2 at its relaxed geometry.

For the calculated formation energy, the calculation gives -686 meV/atom. The density of states at the Fermi level is 0.671 states/eV/atom.

POSCAR file:
```
Hf2InPt2
1.0
-2.291 2.291 5.274
2.291 -2.291 5.274
2.291 2.291 -5.274
Hf In Pt
2 1 2
Cartesian
2.291 0.000 2.637
0.000 2.291 2.637
0.000 0.000 0.000
0.000 0.000 3.979
0.000 0.000 6.570
```

8.
DFT (PBE) results for crystalline CoPt2Se at its relaxed geometry.

The uncorrected formation energy comes out at 0.1461 eV per atom. The density of states at the Fermi level is 1.115 states/eV/atom.

POSCAR file:
```
CoPt2Se
1.0
2.850 0.000 0.000
0.000 2.850 0.000
0.000 0.000 7.378
Co Pt Se
1 2 1
Cartesian
0.000 0.000 0.000
0.000 0.000 3.796
1.425 1.425 1.810
1.425 1.425 6.030
```

9.
DFT (PBE) results for crystalline Ba2La4Ru at its relaxed geometry.

For the calculated formation energy, the calculation gives 56 meV/atom. The density of states at the Fermi level is 1.585 states/eV/atom.

POSCAR file:
```
Ba2La4Ru
1.0
-2.841 2.841 10.122
2.841 -2.841 10.122
2.841 2.841 -10.122
Ba La Ru
2 4 1
Cartesian
0.000 0.000 3.401
0.000 0.000 16.844
2.841 0.000 0.000
0.000 0.000 7.438
0.000 2.841 0.000
0.000 0.000 12.806
0.000 0.000 10.122
```

10.
DFT (PBE) results for crystalline ErCdSnPt at its relaxed geometry.

For the calculated formation energy, the calculation gives -575 meV/atom. The density of states at the Fermi level is 0.536 states/eV/atom.

POSCAR file:
```
ErCdSnPt
1.0
0.000 3.493 3.493
3.493 0.000 3.493
3.493 3.493 0.000
Er Cd Sn Pt
1 1 1 1
Cartesian
0.000 0.000 0.000
5.239 5.239 5.239
3.493 3.493 3.493
1.746 1.746 1.746
```

11.
DFT (PBE) results for crystalline UAlSn2 at its relaxed geometry.

For the calculated formation energy, the calculation gives 133 meV/atom. The density of states at the Fermi level is 1.317 states/eV/atom.

POSCAR file:
```
UAlSn2
1.0
1.558 0.899 11.236
-1.558 0.899 11.236
0.000 -1.799 11.236
U Al Sn
1 1 2
Cartesian
0.000 0.000 0.000
0.000 0.000 16.854
0.000 0.000 14.008
0.000 0.000 19.700
```

12.
DFT (PBE) results for crystalline HoNbS2 at its relaxed geometry.

The uncorrected formation energy comes out at -0.8744 eV per atom. The density of states at the Fermi level is 0.702 states/eV/atom.

POSCAR file:
```
HoNbS2
1.0
1.731 0.999 8.500
-1.731 0.999 8.500
0.000 -1.999 8.500
Ho Nb S
1 1 2
Cartesian
0.000 0.000 0.000
0.000 0.000 12.750
0.000 0.000 2.695
0.000 0.000 22.804
```

13.
DFT (PBE) results for crystalline YZnSe3 at its relaxed geometry.

The uncorrected formation energy comes out at -0.5069 eV per atom. Its energy above the most stable polymorph in this dataset is 0 meV/atom. The density of states at the Fermi level is 0.580 states/eV/atom.

POSCAR file:
```
YZnSe3
1.0
4.913 0.000 0.000
0.000 4.913 0.000
0.000 0.000 4.913
Y Zn Se
1 1 3
Cartesian
0.000 0.000 0.000
2.456 2.456 2.456
0.000 2.456 2.456
2.456 0.000 2.456
2.456 2.456 0.000
```

14.
DFT (PBE) results for crystalline YTiCoRh at its relaxed geometry.

For the calculated formation energy, the calculation gives -366 meV/atom. The density of states at the Fermi level is 0.983 states/eV/atom.

POSCAR file:
```
YTiCoRh
1.0
0.000 3.231 3.231
3.231 0.000 3.231
3.231 3.231 0.000
Y Ti Co Rh
1 1 1 1
Cartesian
0.000 0.000 0.000
3.231 3.231 3.231
1.615 1.615 1.615
4.846 4.846 4.846
```

15.
DFT (PBE) results for crystalline Ti4In at its relaxed geometry.

Its energy above the most stable polymorph in this dataset is 0 meV/atom. For the calculated formation energy, the calculation gives -62 meV/atom. The density of states at the Fermi level is 1.163 states/eV/atom.

POSCAR file:
```
Ti4In
1.0
-1.534 1.977 7.488
1.534 -1.977 7.488
1.534 1.977 -7.488
Ti In
4 1
Cartesian
0.000 0.000 1.594
0.000 0.000 4.399
0.000 0.000 10.578
0.000 0.000 13.382
0.000 0.000 7.488
```

16.
DFT (PBE) results for crystalline KTa2Mo at its relaxed geometry.

Its energy above the most stable polymorph in this dataset is 603 meV/atom. For the calculated formation energy, the calculation gives 1184 meV/atom. The density of states at the Fermi level is 0.979 states/eV/atom.

POSCAR file:
```
KTa2Mo
1.0
-1.491 2.825 5.223
1.491 -2.825 5.223
1.491 2.825 -5.223
K Ta Mo
1 2 1
Cartesian
0.000 0.000 0.000
1.491 0.000 3.069
0.000 2.825 2.153
0.000 0.000 5.223
```

17.
DFT (PBE) results for crystalline Ac4GeOsCl2 at its relaxed geometry.

The uncorrected formation energy comes out at -1.0262 eV per atom. The density of states at the Fermi level is 0.576 states/eV/atom.

POSCAR file:
```
Ac4GeOsCl2
1.0
7.868 0.000 0.000
0.000 4.425 0.000
-2.377 0.000 7.661
Ac Ge Os Cl
4 1 1 2
Cartesian
1.242 0.000 1.611
0.023 2.212 6.062
5.467 2.212 1.599
4.248 0.000 6.050
3.934 0.000 0.000
0.000 2.212 0.000
-1.189 0.000 3.830
2.745 2.212 3.830
```

18.
DFT (PBE) results for crystalline CsSmCoBr6 at its relaxed geometry.

The uncorrected formation energy comes out at -1.3175 eV per atom. The density of states at the Fermi level is 0.104 states/eV/atom.

POSCAR file:
```
CsSmCoBr6
1.0
3.583 -6.217 0.000
3.583 6.217 0.000
-0.043 0.000 8.149
Cs Sm Co Br
1 1 1 6
Cartesian
0.000 0.000 0.000
3.562 2.070 4.074
3.562 -2.078 4.074
1.451 -2.243 5.642
2.718 -0.157 2.476
4.405 -0.157 5.672
2.370 -3.810 2.512
4.754 -3.810 5.637
5.673 -2.243 2.507
```

19.
DFT (PBE) results for crystalline CePuPt10 at its relaxed geometry.

For the calculated formation energy, the calculation gives -626 meV/atom. The density of states at the Fermi level is 2.019 states/eV/atom.

POSCAR file:
```
CePuPt10
1.0
4.452 0.000 0.000
0.000 5.397 0.000
0.000 0.000 9.321
Ce Pu Pt
1 1 10
Cartesian
0.000 0.000 0.000
0.000 2.699 4.661
0.000 0.000 3.108
0.000 0.000 6.213
0.000 2.699 1.557
0.000 2.699 7.764
2.226 0.000 4.661
2.226 1.349 2.329
2.226 1.349 6.992
2.226 2.699 0.000
2.226 4.048 2.329
2.226 4.048 6.992
```

20.
DFT (PBE) results for crystalline AcDy2I at its relaxed geometry.

The uncorrected formation energy comes out at -0.0599 eV per atom. The density of states at the Fermi level is 1.625 states/eV/atom.

POSCAR file:
```
AcDy2I
1.0
1.843 1.064 12.019
-1.843 1.064 12.019
0.000 -2.128 12.019
Ac Dy I
1 2 1
Cartesian
0.000 0.000 0.000
0.000 0.000 3.539
0.000 0.000 32.519
0.000 0.000 18.029
```

21.
DFT (PBE) results for crystalline KSr3Al8 at its relaxed geometry.

For the calculated formation energy, the calculation gives -151 meV/atom. The density of states at the Fermi level is 0.474 states/eV/atom.

POSCAR file:
```
KSr3Al8
1.0
2.936 1.695 9.620
-2.936 1.695 9.620
0.000 -3.390 9.620
K Sr Al
1 3 8
Cartesian
0.000 0.000 0.000
0.000 0.000 3.582
0.000 0.000 14.456
0.000 0.000 18.108
0.000 -1.685 6.607
-1.459 0.843 6.607
-1.462 -0.844 11.467
0.000 0.000 9.043
1.459 0.843 6.607
1.462 -0.844 11.467
0.000 1.689 11.467
0.000 0.000 23.464
```

22.
DFT (PBE) results for crystalline CsLiMnH6 at its relaxed geometry.

The value obtained for the total energy is -3.666 eV per atom.

POSCAR file:
```
CsLiMnH6
1.0
5.027 0.000 0.000
-2.514 4.354 0.000
0.000 0.000 5.798
Cs Li Mn H
1 1 1 6
Cartesian
0.000 0.000 0.000
0.000 2.902 2.899
2.514 1.451 2.899
2.514 0.195 1.857
2.514 0.195 3.940
1.425 2.079 1.857
1.425 2.079 3.940
3.602 2.079 1.857
3.602 2.079 3.940
```

23.
DFT (PBE) results for crystalline Na3NpPa3N8 at its relaxed geometry.

The uncorrected formation energy comes out at -1.1607 eV per atom.

POSCAR file:
```
Na3NpPa3N8
1.0
3.553 2.051 5.686
-3.553 2.051 5.686
0.000 -4.103 5.686
Na Np Pa N
3 1 3 8
Cartesian
-1.777 -1.026 5.686
-1.777 1.026 11.373
0.000 2.051 5.686
0.000 0.000 8.530
-3.553 0.000 8.530
-1.777 1.026 2.843
1.777 1.026 2.843
0.000 0.000 3.872
-1.695 -0.979 9.502
0.000 -1.958 7.557
-1.695 0.979 7.557
1.695 -0.979 9.502
0.000 1.958 9.502
1.695 0.979 7.557
0.000 0.000 13.187
```

24.
DFT (PBE) results for crystalline Tb2ZnGa3Ir4 at its relaxed geometry.

For the calculated formation energy, the calculation gives -659 meV/atom. The density of states at the Fermi level is 0.513 states/eV/atom.

POSCAR file:
```
Tb2ZnGa3Ir4
1.0
4.187 0.000 0.000
0.000 4.187 0.000
0.000 0.000 10.438
Tb Zn Ga Ir
2 1 3 4
Cartesian
0.000 2.093 2.505
2.093 0.000 7.933
0.000 0.000 5.219
0.000 2.093 9.096
2.093 0.000 1.342
2.093 2.093 5.219
0.000 0.000 0.000
0.000 2.093 6.657
2.093 0.000 3.781
2.093 2.093 0.000
```

25.
DFT (PBE) results for crystalline TbPmZnPb at its relaxed geometry.

For the calculated formation energy, the calculation gives -390 meV/atom. The density of states at the Fermi level is 0.833 states/eV/atom.

POSCAR file:
```
TbPmZnPb
1.0
0.000 3.758 3.758
3.758 0.000 3.758
3.758 3.758 0.000
Tb Pm Zn Pb
1 1 1 1
Cartesian
0.000 0.000 0.000
3.758 3.758 3.758
1.879 1.879 1.879
5.637 5.637 5.637
```